1.
Here is a relaxed LaAuSeN2 crystal from Alexandria. Energies are from GGA-PBE.

energy above the most stable polymorph in this dataset = 313 meV per atom
uncorrected formation energy = 0.871 eV per atom
symmetry = P4/mmm (123)
crystal system = tetragonal
uncorrected energy = -0.353 Ry/atom

Cell lengths 4.0804, 4.0804, 6.6757 Å; angles 90.00, 90.00, 90.00 degrees
Fractional coordinates of all 5 atoms:
1 La 0.0000 0.0000 0.0000
2 N 0.5000 0.0000 0.0000
3 Se 0.0000 0.0000 0.5000
4 Au 0.5000 0.5000 0.5000
5 N 0.0000 0.5000 0.0000

=====

2.
Here is a relaxed LaAuSeN2 crystal from Alexandria. Energies are from GGA-PBE.

energy above the most stable polymorph in this dataset = 0 meV per atom
uncorrected formation energy = 0.558 eV per atom
symmetry = P4/mmm (123)
crystal system = tetragonal
uncorrected energy = -0.376 Ry/atom

Cell lengths 4.2806, 4.2806, 5.0175 Å; angles 90.00, 90.00, 90.00 degrees
Last column: magnetic moment on the atom in μB.
Fractional coordinates of all 5 atoms:
1 Se 0.0000 0.0000 0.5000  0.04
2 La 0.5000 0.5000 0.5000  -0.03
3 N 0.5000 0.0000 0.0000  0.45
4 Au 0.0000 0.0000 0.0000  0.07
5 N 0.0000 0.5000 0.0000  0.45

=====

3.
Here is a relaxed LaSiAuN2 crystal from Alexandria. Energies are from GGA-PBE.

uncorrected formation energy = 1.451 eV per atom
symmetry = P4/mmm (123)
crystal system = tetragonal
uncorrected energy = -0.338 Ry/atom

Cell lengths 4.2314, 5.8803, 4.2314 Å; angles 90.00, 90.00, 90.00 degrees
Last column: magnetic moment on the atom in μB.
Fractional coordinates of all 5 atoms:
1 N 0.0000 0.0000 0.5000  0.62
2 Au 0.0000 0.0000 0.0000  0.10
3 La 0.0000 0.5000 0.0000  -0.09
4 N 0.5000 0.0000 0.0000  0.81
5 Si 0.5000 0.5000 0.5000  -0.12

=====

4.
Here is a relaxed La12Sn4AuN3 crystal from Alexandria. Energies are from GGA-PBE.

uncorrected formation energy = -0.825 eV per atom
symmetry = Im-3m (229)
crystal system = cubic
uncorrected energy = -0.441 Ry/atom

Cell lengths 9.1033, 9.1033, 9.1033 Å; angles 109.47, 109.47, 109.47 degrees
Fractional coordinates of all 20 atoms:
1 Sn 0.5000 0.0000 0.0000
2 Sn 0.5000 0.5000 0.5000
3 La 0.5000 0.2500 0.7500
4 La 0.2743 0.0000 0.2743
5 Sn 0.0000 0.5000 0.0000
6 La 0.2500 0.7500 0.5000
7 La 0.5000 0.7500 0.2500
8 La 0.7257 0.0000 0.7257
9 La 0.2500 0.5000 0.7500
10 Sn 0.0000 0.0000 0.5000
11 Au 0.0000 0.0000 0.0000
12 N 0.0000 0.5000 0.5000
13 La 0.7500 0.2500 0.5000
14 La 0.7500 0.5000 0.2500
15 La 0.0000 0.2743 0.2743
16 N 0.5000 0.5000 0.0000
17 N 0.5000 0.0000 0.5000
18 La 0.2743 0.2743 0.0000
19 La 0.7257 0.7257 0.0000
20 La 0.0000 0.7257 0.7257

=====

5.
Here is a relaxed SrLa2AuN crystal from Alexandria. Energies are from GGA-PBE.

uncorrected formation energy = -0.721 eV per atom
symmetry = P4/mmm (123)
crystal system = tetragonal
uncorrected energy = -0.393 Ry/atom

Cell lengths 5.0049, 5.0049, 5.3047 Å; angles 90.00, 90.00, 90.00 degrees
Fractional coordinates of all 5 atoms:
1 Sr 0.0000 0.0000 0.5000
2 La 0.0000 0.5000 0.0000
3 N 0.0000 0.0000 0.0000
4 La 0.5000 0.0000 0.0000
5 Au 0.5000 0.5000 0.5000

=====

6.
Here is a relaxed La6TcAu2N crystal from Alexandria. Energies are from GGA-PBE.

uncorrected formation energy = -0.558 eV per atom
symmetry = P2_1/c (14)
crystal system = monoclinic
uncorrected energy = -0.444 Ry/atom

Cell lengths 6.9258, 7.7241, 10.4837 Å; angles 90.00, 88.85, 90.00 degrees
Fractional coordinates of all 20 atoms:
1 La 0.6643 0.3065 0.5570
2 Au 0.0510 0.8979 0.2489
3 Tc 0.0000 0.5000 0.5000
4 La 0.3357 0.6935 0.4430
5 La 0.3079 0.6761 0.0538
6 La 0.8843 0.5236 0.2392
7 La 0.6157 0.0236 0.2608
8 La 0.6921 0.3239 0.9462
9 La 0.1921 0.1761 0.4462
10 Au 0.9490 0.1021 0.7511
11 Au 0.4490 0.3979 0.2511
12 N 0.0000 0.5000 0.0000
13 Tc 0.5000 0.0000 0.0000
14 La 0.8357 0.8065 0.9430
15 La 0.1157 0.4764 0.7608
16 La 0.8079 0.8239 0.5538
17 La 0.3843 0.9764 0.7392
18 N 0.5000 0.0000 0.5000
19 La 0.1643 0.1935 0.0570
20 Au 0.5510 0.6021 0.7489

=====

7.
Here is a relaxed LaTeAuN2 crystal from Alexandria. Energies are from GGA-PBE.

energy above the most stable polymorph in this dataset = 0 meV per atom
uncorrected formation energy = 0.788 eV per atom
symmetry = P4/mmm (123)
crystal system = tetragonal
uncorrected energy = -0.354 Ry/atom

Cell lengths 4.1597, 4.1597, 7.1617 Å; angles 90.00, 90.00, 90.00 degrees
Fractional coordinates of all 5 atoms:
1 La 0.0000 0.0000 0.0000
2 N 0.0000 0.5000 0.0000
3 Au 0.5000 0.5000 0.5000
4 Te 0.0000 0.0000 0.5000
5 N 0.5000 0.0000 0.0000

=====

8.
Here is a relaxed LaTeAuN2 crystal from Alexandria. Energies are from GGA-PBE.

energy above the most stable polymorph in this dataset = 48 meV per atom
uncorrected formation energy = 0.836 eV per atom
symmetry = P4/mmm (123)
crystal system = tetragonal
uncorrected energy = -0.350 Ry/atom

Cell lengths 4.4218, 4.4218, 5.2830 Å; angles 90.00, 90.00, 90.00 degrees
Last column: magnetic moment on the atom in μB.
Fractional coordinates of all 5 atoms:
1 Au 0.0000 0.0000 0.0000  0.03
2 N 0.5000 0.0000 0.0000  0.49
3 La 0.5000 0.5000 0.5000  -0.04
4 N 0.0000 0.5000 0.0000  0.49
5 Te 0.0000 0.0000 0.5000  0.04

=====

9.
Here is a relaxed La2TiAuN crystal from Alexandria. Energies are from GGA-PBE.

uncorrected formation energy = -0.865 eV per atom
symmetry = P4/mmm (123)
crystal system = tetragonal
uncorrected energy = -0.495 Ry/atom

Cell lengths 5.2842, 5.2842, 4.0195 Å; angles 90.00, 90.00, 90.00 degrees
Last column: magnetic moment on the atom in μB.
Fractional coordinates of all 5 atoms:
1 Au 0.5000 0.5000 0.5000  0.02
2 La 0.5000 0.0000 0.0000  0.10
3 La 0.0000 0.5000 0.0000  0.10
4 N 0.0000 0.0000 0.0000  -0.05
5 Ti 0.0000 0.0000 0.5000  0.92

=====

10.
Here is a relaxed La2YAuN crystal from Alexandria. Energies are from GGA-PBE.

uncorrected formation energy = -0.855 eV per atom
symmetry = P4/mmm (123)
crystal system = tetragonal
uncorrected energy = -0.473 Ry/atom

Cell lengths 5.1234, 5.1234, 4.6900 Å; angles 90.00, 90.00, 90.00 degrees
Fractional coordinates of all 5 atoms:
1 Au 0.5000 0.5000 0.5000
2 La 0.0000 0.5000 0.0000
3 Y 0.0000 0.0000 0.5000
4 N 0.0000 0.0000 0.0000
5 La 0.5000 0.0000 0.0000

=====

11.
Here is a relaxed LaZnAuN2 crystal from Alexandria. Energies are from GGA-PBE.

uncorrected formation energy = 0.894 eV per atom
symmetry = P4/mmm (123)
crystal system = tetragonal
uncorrected energy = -0.318 Ry/atom

Cell lengths 4.3892, 4.5693, 4.3892 Å; angles 90.00, 90.00, 90.00 degrees
Fractional coordinates of all 5 atoms:
1 N 0.0000 0.0000 0.5000
2 Zn 0.0000 0.5000 0.0000
3 N 0.5000 0.0000 0.0000
4 La 0.5000 0.5000 0.5000
5 Au 0.0000 0.0000 0.0000

=====

12.
Here is a relaxed La2ZnAuN crystal from Alexandria. Energies are from GGA-PBE.

uncorrected formation energy = -0.700 eV per atom
symmetry = P4/mmm (123)
crystal system = tetragonal
uncorrected energy = -0.386 Ry/atom

Cell lengths 5.1670, 5.1670, 4.1013 Å; angles 90.00, 90.00, 90.00 degrees
Fractional coordinates of all 5 atoms:
1 La 0.5000 0.0000 0.0000
2 Zn 0.0000 0.0000 0.5000
3 N 0.0000 0.0000 0.0000
4 La 0.0000 0.5000 0.0000
5 Au 0.5000 0.5000 0.5000

=====

13.
Here is a relaxed NaLaAu crystal from Alexandria. Energies are from GGA-PBE.

energy above the most stable polymorph in this dataset = 0 meV per atom
symmetry = P2_1/m (11)
formation energy = -0.433 eV/atom
crystal system = monoclinic
uncorrected energy = -0.265 Ry/atom

Cell lengths 4.3117, 8.0871, 14.2242 Å; angles 92.23, 90.00, 90.00 degrees
Fractional coordinates of all 18 atoms:
1 La 0.2500 0.3421 0.9118
2 Au 0.7500 0.2753 0.0686
3 La 0.7500 0.5479 0.3794
4 Au 0.7500 0.2358 0.7476
5 Na 0.7500 0.9874 0.9176
6 La 0.2500 0.4521 0.6206
7 Na 0.7500 0.6218 0.7995
8 Au 0.2500 0.7247 0.9314
9 Au 0.7500 0.7277 0.5919
10 Na 0.2500 0.0126 0.0824
11 La 0.7500 0.6579 0.0882
12 Na 0.2500 0.3782 0.2005
13 Au 0.2500 0.7642 0.2524
14 Na 0.2500 0.8721 0.4634
15 La 0.2500 0.9449 0.7164
16 La 0.7500 0.0551 0.2836
17 Na 0.7500 0.1279 0.5366
18 Au 0.2500 0.2723 0.4081

=====

14.
Here is a relaxed NaLa2Au6 crystal from Alexandria. Energies are from GGA-PBE.

symmetry = P6/mmm (191)
formation energy = -0.619 eV/atom
crystal system = hexagonal
uncorrected energy = -0.297 Ry/atom

Cell lengths 3.6570, 8.2766, 8.2766 Å; angles 120.00, 90.00, 90.00 degrees
Fractional coordinates of all 9 atoms:
1 Na 0.0000 0.0000 0.0000
2 Au 0.5000 0.3317 0.0000
3 Au 0.5000 0.3317 0.3317
4 Au 0.5000 0.6683 0.0000
5 La 0.0000 0.3333 0.6667
6 Au 0.5000 0.0000 0.6683
7 Au 0.5000 0.6683 0.6683
8 Au 0.5000 0.0000 0.3317
9 La 0.0000 0.6667 0.3333

=====

15.
Here is a relaxed NaLa2Au crystal from Alexandria. Energies are from GGA-PBE.

energy above the most stable polymorph in this dataset = 100 meV per atom
symmetry = Fm-3m (225)
formation energy = -0.185 eV/atom
crystal system = cubic
uncorrected energy = -0.279 Ry/atom

Cell lengths 5.4854, 5.4854, 5.4854 Å; angles 60.00, 60.00, 60.00 degrees
Fractional coordinates of all 4 atoms:
1 Na 0.0000 0.0000 0.0000
2 La 0.2500 0.2500 0.2500
3 Au 0.5000 0.5000 0.5000
4 La 0.7500 0.7500 0.7500

=====

16.
Here is a relaxed Na3LaAu8 crystal from Alexandria. Energies are from GGA-PBE.

symmetry = R3m (160)
formation energy = -0.423 eV/atom
crystal system = trigonal
uncorrected energy = -0.246 Ry/atom

Cell lengths 5.6214, 5.6214, 9.9263 Å; angles 73.55, 73.55, 60.00 degrees
Fractional coordinates of all 12 atoms:
1 Na 0.4913 0.4913 0.5260
2 Na 0.3731 0.3731 0.8808
3 Au 0.9360 0.4390 0.1859
4 Au 0.1874 0.1874 0.4378
5 Au 0.9378 0.9378 0.6857
6 Au 0.4390 0.9360 0.1859
7 Au 0.4390 0.4390 0.1859
8 Au 0.6882 0.6882 0.9355
9 Au 0.9378 0.4386 0.6857
10 La 0.8758 0.8758 0.3725
11 Au 0.4386 0.9378 0.6857
12 Na 0.0059 0.0059 0.9824

=====

17.
Here is a relaxed NaLa2Au crystal from Alexandria. Energies are from GGA-PBE.

energy above the most stable polymorph in this dataset = 75 meV per atom
symmetry = R3m (160)
formation energy = -0.210 eV/atom
crystal system = trigonal
uncorrected energy = -0.281 Ry/atom

Cell lengths 4.1237, 4.1237, 10.3660 Å; angles 78.53, 78.53, 60.00 degrees
Fractional coordinates of all 4 atoms:
1 Na 0.5001 0.5001 0.4998
2 Au 0.6666 0.6666 0.0003
3 La 0.0620 0.0620 0.8140
4 La 0.2714 0.2714 0.1859

=====

18.
Here is a relaxed NaLa3Au4 crystal from Alexandria. Energies are from GGA-PBE.

symmetry = R-3m (166)
formation energy = -0.715 eV/atom
crystal system = trigonal
uncorrected energy = -0.321 Ry/atom

Cell lengths 5.2863, 5.2863, 9.1654 Å; angles 73.24, 73.24, 60.00 degrees
Fractional coordinates of all 8 atoms:
1 Na 0.0000 0.0000 0.0000
2 La 0.7426 0.7426 0.7723
3 Au 0.1328 0.1328 0.6017
4 La 0.2574 0.2574 0.2277
5 Au 0.6200 0.6200 0.1400
6 La 0.5000 0.5000 0.5000
7 Au 0.3800 0.3800 0.8600
8 Au 0.8672 0.8672 0.3983

=====

19.
Here is a relaxed NaLaAu crystal from Alexandria. Energies are from GGA-PBE.

energy above the most stable polymorph in this dataset = 105 meV per atom
symmetry = I4mm (107)
formation energy = -0.327 eV/atom
crystal system = tetragonal
uncorrected energy = -0.257 Ry/atom

Cell lengths 3.8754, 3.8754, 6.4367 Å; angles 107.52, 107.52, 90.00 degrees
Fractional coordinates of all 3 atoms:
1 Au 0.9606 0.9606 0.9212
2 La 0.5844 0.5844 0.1687
3 Na 0.3050 0.3050 0.6101

=====

20.
Here is a relaxed NaLa2Au crystal from Alexandria. Energies are from GGA-PBE.

energy above the most stable polymorph in this dataset = 0 meV per atom
symmetry = P4/mmm (123)
formation energy = -0.285 eV/atom
crystal system = tetragonal
uncorrected energy = -0.286 Ry/atom

Cell lengths 3.7890, 3.7890, 9.0937 Å; angles 90.00, 90.00, 90.00 degrees
Fractional coordinates of all 4 atoms:
1 La 0.0000 0.0000 0.1944
2 Au 0.5000 0.5000 0.0000
3 Na 0.5000 0.5000 0.5000
4 La 0.0000 0.0000 0.8056